Entry 1:
Compound: NaTiBe2W
Source: the Alexandria database
Functional: SCAN
Structure: single point on PBEsol structure

Output
- Formation energy from the elements: 1.55 eV per atom
- Electronic total energy: -1.336 Ry/atom
- Total magnetization: 0.038 μB per atom

```
data_NaTiBe2W
_chemical_formula_sum 'Na1 Ti1 Be2 W1'
_cell_length_a 4.6804
_cell_length_b 4.6804
_cell_length_c 4.4452
_cell_angle_alpha 90.00
_cell_angle_beta 90.00
_cell_angle_gamma 90.00
_symmetry_space_group_name_H-M 'P 1'
_symmetry_Int_Tables_number 1
loop_
_symmetry_equiv_pos_as_xyz
'x,y,z'
loop_
_atom_site_label
_atom_site_fract_x
_atom_site_fract_y
_atom_site_fract_z
Na1 0.0000 0.0000 0.0000
Ti1 0.5000 0.5000 0.5000
Be1 0.0000 0.5000 0.5000
Be2 0.5000 0.0000 0.5000
W1 0.5000 0.5000 0.0000
```

***

Entry 2:
Compound: NaBeTl2
Source: the Alexandria database
Functional: SCAN
Structure: single point on PBEsol structure

Output
- Formation energy from the elements: 0.26 eV per atom
- Electronic total energy: -2.798 Ry/atom
- Total magnetization: 0.000 μB per atom

```
data_NaBeTl2
_chemical_formula_sum 'Na1 Be1 Tl2'
_cell_length_a 4.9243
_cell_length_b 4.9243
_cell_length_c 4.9243
_cell_angle_alpha 60.00
_cell_angle_beta 60.00
_cell_angle_gamma 60.00
_symmetry_space_group_name_H-M 'P 1'
_symmetry_Int_Tables_number 1
loop_
_symmetry_equiv_pos_as_xyz
'x,y,z'
loop_
_atom_site_label
_atom_site_fract_x
_atom_site_fract_y
_atom_site_fract_z
Na1 0.0000 0.0000 0.0000
Be1 0.5000 0.5000 0.5000
Tl1 0.2500 0.2500 0.2500
Tl2 0.7500 0.7500 0.7500
```

***

Entry 3:
Compound: Na3YBe
Source: the Alexandria database
Functional: SCAN
Structure: single point on PBEsol structure

Output
- Formation energy from the elements: 1.56 eV per atom
- Electronic total energy: -0.545 Ry/atom
- Total magnetization: 0.349 μB per atom

```
data_Na3YBe
_chemical_formula_sum 'Na3 Y1 Be1'
_cell_length_a 6.3767
_cell_length_b 6.3767
_cell_length_c 6.3767
_cell_angle_alpha 90.00
_cell_angle_beta 90.00
_cell_angle_gamma 90.00
_symmetry_space_group_name_H-M 'P 1'
_symmetry_Int_Tables_number 1
loop_
_symmetry_equiv_pos_as_xyz
'x,y,z'
loop_
_atom_site_label
_atom_site_fract_x
_atom_site_fract_y
_atom_site_fract_z
Na1 0.0000 0.0000 0.5000
Na2 0.0000 0.5000 0.0000
Na3 0.5000 0.0000 0.0000
Y1 0.0000 0.0000 0.0000
Be1 0.5000 0.5000 0.5000
```